(1)
{"formula": "K2BBrN", "functional": "PBE-GGA", "state": "relaxed", "formation_energy_uncorrected_ev_per_atom": 1.208, "sg": "No. 123", "final_energy_ev_per_cell": -12.83, "mass_density_g_cm3": 1.696, "lattice_angstrom": [[6.117, 0.000, 0.000], [0.000, 4.786, 0.000], [0.000, 0.000, 6.117]], "species": ["B", "K", "N", "K", "Br"], "frac_coords": [[0.000, 0.500, 0.000], [0.000, 0.000, 0.500], [0.500, 0.500, 0.500], [0.500, 0.000, 0.000], [0.000, 0.000, 0.000]]}

(2)
{"formula": "Cs2KPdCl6", "functional": "PBE-GGA", "state": "relaxed", "e_above_lowest_polymorph_mev_per_atom": 2.2, "formation_energy_uncorrected_ev_per_atom": -1.355, "sg": "No. 166", "final_energy_ev_per_cell": -65.26, "mass_density_g_cm3": 2.980, "lattice_angstrom": [[7.468, 0.000, 0.000], [3.734, 6.468, 0.000], [3.734, 2.156, 14.399]], "species": ["Cs", "K", "Cl", "Cs", "Cl", "Cl", "Cl", "Cl", "Pd", "Cl", "Cs", "Cl", "Cl", "Cl", "Cl", "K", "Cl", "Pd", "Cl", "Cs"], "frac_coords": [[0.304, 0.304, 0.088], [0.587, 0.587, 0.240], [0.187, 0.726, 0.900], [0.696, 0.696, 0.912], [0.377, 0.843, 0.403], [0.843, 0.377, 0.403], [0.274, 0.813, 0.100], [0.726, 0.187, 0.900], [0.000, 0.000, 0.000], [0.377, 0.377, 0.403], [0.865, 0.865, 0.405], [0.157, 0.623, 0.597], [0.187, 0.187, 0.900], [0.813, 0.813, 0.100], [0.623, 0.623, 0.597], [0.413, 0.413, 0.760], [0.813, 0.274, 0.100], [0.500, 0.500, 0.500], [0.623, 0.157, 0.597], [0.135, 0.135, 0.595]]}

(3)
{"formula": "Y4CdPt", "functional": "PBE-GGA", "state": "relaxed", "e_above_lowest_polymorph_mev_per_atom": 0.0, "sg": "No. 216", "formation_enthalpy_0k_ev_per_atom": -0.62, "final_energy_ev_per_cell": -146.08, "mass_density_g_cm3": 6.785, "lattice_angstrom": [[9.719, 0.000, 0.000], [4.859, 8.417, 0.000], [4.859, 2.806, 7.936]], "species": ["Y", "Cd", "Y", "Y", "Pt", "Y", "Y", "Y", "Cd", "Y", "Y", "Pt", "Y", "Y", "Y", "Y", "Pt", "Cd", "Y", "Y", "Cd", "Pt", "Y", "Y"], "frac_coords": [[0.942, 0.353, 0.353], [0.254, 0.582, 0.582], [0.190, 0.190, 0.810], [0.564, 0.936, 0.564], [0.570, 0.143, 0.143], [0.810, 0.190, 0.190], [0.564, 0.564, 0.936], [0.353, 0.353, 0.353], [0.582, 0.582, 0.582], [0.810, 0.190, 0.810], [0.190, 0.810, 0.810], [0.143, 0.143, 0.570], [0.353, 0.942, 0.353], [0.936, 0.564, 0.936], [0.936, 0.564, 0.564], [0.810, 0.810, 0.190], [0.143, 0.570, 0.143], [0.582, 0.254, 0.582], [0.353, 0.353, 0.942], [0.936, 0.936, 0.564], [0.582, 0.582, 0.254], [0.143, 0.143, 0.143], [0.564, 0.936, 0.936], [0.190, 0.810, 0.190]]}

(4)
{"formula": "LiYZrBr2", "functional": "PBE-GGA", "state": "relaxed", "formation_energy_uncorrected_ev_per_atom": -0.001, "sg": "No. 123", "final_energy_ev_per_cell": -20.28, "mass_density_g_cm3": 3.314, "lattice_angstrom": [[5.273, 0.000, 0.000], [0.000, 6.251, 0.000], [0.000, 0.000, 5.273]], "species": ["Zr", "Y", "Br", "Li", "Br"], "frac_coords": [[0.000, 0.000, 0.000], [0.000, 0.500, 0.000], [0.000, 0.000, 0.500], [0.500, 0.500, 0.500], [0.500, 0.000, 0.000]]}

(5)
{"formula": "ZrP3Ru", "functional": "PBE-GGA", "state": "relaxed", "e_above_lowest_polymorph_mev_per_atom": 704.0, "sg": "No. 221", "formation_enthalpy_0k_ev_per_atom": 1.09, "final_energy_ev_per_cell": -28.60, "mass_density_g_cm3": 3.931, "lattice_angstrom": [[-1.983, 4.442, 0.853], [-2.784, -1.933, 3.592], [3.565, 0.961, 3.280]], "species": ["Ru", "P", "Zr", "P", "P"], "frac_coords": [[0.500, 0.500, 0.500], [0.500, 0.000, 0.000], [0.000, 0.000, 0.000], [0.000, 0.000, 0.500], [0.000, 0.500, 0.000]]}

(6)
{"formula": "PaGa2Co2", "functional": "PBE-GGA", "state": "relaxed", "e_above_lowest_polymorph_mev_per_atom": 0.0, "sg": "No. 12", "formation_enthalpy_0k_ev_per_atom": -0.42, "final_energy_ev_per_cell": -31.88, "mass_density_g_cm3": 9.795, "lattice_angstrom": [[-1.483, -3.573, 1.891], [3.818, -0.534, 1.986], [-1.819, 4.355, 1.901]], "species": ["Ga", "Pa", "Ga", "Co", "Co"], "frac_coords": [[0.647, 0.577, 0.293], [0.000, 0.000, 0.000], [0.353, 0.423, 0.707], [0.220, 0.848, 0.439], [0.780, 0.152, 0.561]]}

(7)
{"formula": "La3SeI3", "functional": "PBE-GGA", "state": "relaxed", "formation_energy_uncorrected_ev_per_atom": -1.513, "sg": "No. 214", "final_energy_ev_per_cell": -134.03, "mass_density_g_cm3": 5.832, "lattice_angstrom": [[10.281, 0.000, -3.635], [-5.140, 8.903, -3.635], [0.000, 0.000, 10.904]], "species": ["Se", "I", "La", "I", "I", "La", "Se", "Se", "Se", "La", "La", "La", "La", "I", "I", "I", "La", "La", "I", "La", "I", "I", "La", "I", "La", "I", "La", "I"], "frac_coords": [[0.750, 0.500, 0.000], [0.481, 0.740, 0.990], [0.734, 0.469, 0.484], [0.750, 0.760, 0.740], [0.240, 0.990, 0.981], [0.516, 0.031, 0.266], [0.750, 0.250, 0.250], [0.500, 0.250, 0.500], [0.000, 0.000, 0.250], [0.766, 0.750, 0.234], [0.734, 0.266, 0.750], [0.250, 0.234, 0.266], [0.250, 0.016, 0.484], [0.260, 0.740, 0.250], [0.490, 0.510, 0.250], [0.010, 0.760, 0.519], [0.984, 0.750, 0.016], [0.969, 0.484, 0.234], [0.750, 0.990, 0.510], [0.766, 0.016, 0.031], [0.010, 0.250, 0.990], [0.260, 0.519, 0.510], [0.516, 0.484, 0.750], [0.490, 0.981, 0.740], [0.984, 0.234, 0.469], [0.019, 0.510, 0.760], [0.531, 0.266, 0.016], [0.240, 0.250, 0.760]]}

(8)
{"formula": "LiMnSbTe2", "functional": "PBE-GGA", "state": "relaxed", "e_above_lowest_polymorph_mev_per_atom": 0.0, "formation_energy_uncorrected_ev_per_atom": 0.072, "sg": "No. 123", "final_energy_ev_per_cell": -21.13, "mass_density_g_cm3": 4.942, "lattice_angstrom": [[5.399, 0.000, 0.000], [0.000, 5.399, 0.000], [0.000, 0.000, 5.058]], "species": ["Sb", "Mn", "Li", "Te", "Te"], "frac_coords": [[0.000, 0.000, 0.500], [0.000, 0.000, 0.000], [0.500, 0.500, 0.500], [0.500, 0.000, 0.000], [0.000, 0.500, 0.000]]}

(9)
{"formula": "CsRbPb3", "functional": "PBE-GGA", "state": "relaxed", "e_above_lowest_polymorph_mev_per_atom": 0.0, "sg": "No. 160", "formation_enthalpy_0k_ev_per_atom": 0.05, "final_energy_ev_per_cell": -12.70, "mass_density_g_cm3": 5.447, "lattice_angstrom": [[5.787, 0.000, 3.202], [2.008, 5.428, 3.202], [-0.503, -0.350, 7.740]], "species": ["Rb", "Pb", "Pb", "Cs", "Pb"], "frac_coords": [[0.592, 0.592, 0.224], [0.096, 0.600, 0.704], [0.600, 0.096, 0.704], [0.987, 0.987, 0.038], [0.600, 0.600, 0.704]]}

(10)
{"formula": "LiTcGe2", "functional": "PBE-GGA", "state": "relaxed", "e_above_lowest_polymorph_mev_per_atom": 161.4, "sg": "No. 166", "formation_enthalpy_0k_ev_per_atom": -0.02, "final_energy_ev_per_cell": -21.60, "mass_density_g_cm3": 5.809, "lattice_angstrom": [[3.049, 0.000, 0.000], [1.524, 2.640, 0.000], [1.524, 0.880, 8.886]], "species": ["Li", "Ge", "Tc", "Ge"], "frac_coords": [[0.000, 0.000, 0.000], [0.096, 0.096, 0.712], [0.500, 0.500, 0.500], [0.904, 0.904, 0.288]]}